## DyHoCo10 (PBE)

Data for a relaxed DyHoCo10 crystal.

Cell: 3.946 4.909 8.511 Å, 90.00 90.00 90.00°
Fractional positions:
Co: 0.500 0.750 0.750
Co: 0.000 0.500 0.168
Co: 0.500 0.250 0.250
Co: 0.500 0.750 0.250
Co: 0.000 0.000 0.333
Co: 0.500 0.500 0.000
Co: 0.000 0.000 0.667
Co: 0.500 0.250 0.750
Co: 0.000 0.500 0.832
Co: 0.500 0.000 0.500
Dy: 0.000 0.000 0.000
Ho: 0.000 0.500 0.500

Computed properties:
As for the formation energy: -115 meV/atom. Its total energy is -6.801 eV per atom. The space group is Pmmm.